# BeCdWO5

Crystalline BeCdWO5 at its relaxed geometry (PBE with a Hubbard U, the Alexandria database).

The calculation puts the density of states at the Fermi level at 0.000 states/eV per cell. The total energy comes out at -6.495 eV per atom. For the volume, the calculation gives 378 Å³/cell.

The structure belongs to space group C2/c (No. 15); the cell edges are 6.571, 8.656 and 7.376 Å and the angles 90.00°, 115.56° and 90.00°. The asymmetric unit holds Be at (0.000, 0.187, 0.250), Cd at (0.000, 0.157, 0.750), W at (0.000, 0.500, 0.000), O at (0.000, 0.420, 0.750), O at (0.102, 0.299, 0.126) and O at (0.192, 0.067, 0.406).